Entry from Alexandria via LeMat-Bulk: an optimized crystal structure of KSrLaWO6 (PBE with a Hubbard U).

The total energy comes out at -281.9 eV/cell. The value obtained for the total magnetization is 0.0 μB/cell. As for the density of states at the Fermi level: 0.00 states/eV/cell. As for the volume: 16.1 Å³/atom.

The structure belongs to space group F-43m (No. 216); the cell edges are 8.6306, 8.6306 and 8.6306 Å and the angles 90.00°, 90.00° and 90.00°. Symmetry generates all atoms from K at (0.0000, 0.0000, 0.0000), Sr at (0.0000, 0.0000, 0.5000), La at (0.2500, 0.2500, 0.7500), W at (0.2500, 0.2500, 0.2500) and O at (0.0235, 0.2500, 0.2500).